VASP calculation (PBE) on crystalline Sr2TmAgHg6 at its relaxed geometry.

Structure (CIF):
```
data_Sr2TmAgHg6
_symmetry_space_group_name_H-M 'P 1'
_symmetry_Int_Tables_number 1
_cell_length_a 7.8249
_cell_length_b 7.8249
_cell_length_c 7.8249
_cell_angle_alpha 60.00
_cell_angle_beta 60.00
_cell_angle_gamma 90.00
loop_
_symmetry_equiv_pos_as_xyz
'x,y,z'
loop_
_atom_site_label
_atom_site_type_symbol
_atom_site_fract_x
_atom_site_fract_y
_atom_site_fract_z
Hg1 Hg 0.7555 0.7555 0.0000
Hg2 Hg 0.7555 0.7555 0.4889
Hg3 Hg 0.2445 0.2445 0.5111
Hg4 Hg 0.2445 0.2445 0.0000
Hg5 Hg 0.7555 0.2445 0.0000
Hg6 Hg 0.2445 0.7555 0.0000
Ag1 Ag 0.0000 0.0000 0.0000
Sr1 Sr 0.7500 0.2500 0.5000
Sr2 Sr 0.2500 0.7500 0.5000
Tm1 Tm 0.5000 0.5000 0.0000
```

Total DFT energy (no corrections) in eV per atom: -1.387
Space group: No. 225
Mass density in g/cm3: 8.1
DOS at the Fermi energy in states/eV per atom: 0.731